First-principles (PBE-GGA) data for a relaxed structure of Dy5YEr8, as listed in the Alexandria database.

Summary:
size of the total moment: 0.0 μB per formula unit
N(E_F): 20.63 states/eV/f.u.
symmetry: No. 82
ΔE_f: 252 meV per atom

Cell lengths 8.3697, 8.3698, 8.3697 Å; angles 110.96, 106.53, 110.96 degrees
Fractional positions:
Dy (0.0358, 0.3235, 0.1353)
Dy (0.8647, 0.9005, 0.1881)
Dy (0.8119, 0.6765, 0.7123)
Dy (0.5000, 0.0000, 0.5000)
Dy (0.2877, 0.0995, 0.9642)
Y (0.2500, 0.5000, 0.7500)
Er (0.1627, 0.7390, 0.0805)
Er (0.9195, 0.0823, 0.6585)
Er (0.7286, 0.2531, 0.3337)
Er (0.6663, 0.3949, 0.9194)
Er (0.5244, 0.6051, 0.2714)
Er (0.5762, 0.9177, 0.8373)
Er (0.3415, 0.2610, 0.4238)
Er (0.0806, 0.7469, 0.4756)